1.
An optimized crystal structure of Tl2InAg, computed with GGA-PBE.

a b c (Å): 4.7006 4.7006 9.4937
angles (deg): 90.00 90.00 90.00
With the nearest neighbours (Å) after each atom.
Space group I-4m2 (No. 119)
One atom of each set of equivalent atoms:
Tl (0.0000, 0.0000, 0.0000) x2  4 In 3.32, 4 Tl 3.34, 4 Ag 3.34
Tl (0.0000, 0.5000, 0.2500) x2  4 Ag 3.32, 4 Tl 3.34, 4 In 3.34
In (0.0000, 0.0000, 0.5000) x2  8 Tl 3.32-3.34, 4 Ag 3.34
Ag (0.0000, 0.5000, 0.7500) x2  8 Tl 3.32-3.34, 4 In 3.34

Summary:
Mass density = 10.0 g/cm³
Spin magnetization = 0.00 μB per formula unit
Calculated formation energy = 114.6 meV per atom
Distance to the lowest polymorph of the same formula = 0.0714 eV per atom
Calculated total energy = -2.47 eV per atom

---

2.
An optimized crystal structure of RbTa2Re, computed with GGA-PBE.

a b c (Å): 6.7662 6.7662 6.7662
angles (deg): 90.00 90.00 90.00
With the nearest neighbours (Å) after each atom.
Space group Fm-3m (No. 225)
One atom of each set of equivalent atoms:
Rb (0.0000, 0.0000, 0.0000) x4  8 Ta 2.93
Ta (0.2500, 0.2500, 0.2500) x8  4 Re 2.93, 4 Rb 2.93
Re (0.0000, 0.0000, 0.5000) x4  8 Ta 2.93

Summary:
Mass density = 13.6 g/cm³
Spin magnetization = 0.00 μB per formula unit
Calculated formation energy = 1523.0 meV per atom
Distance to the lowest polymorph of the same formula = 0.0000 eV per atom
Calculated total energy = -7.76 eV per atom

---

3.
An optimized crystal structure of Tb2Ce3NdTe6, computed with GGA-PBE.

a b c (Å): 7.6693 13.3038 7.7749
angles (deg): 90.00 109.22 90.00
With the nearest neighbours (Å) after each atom.
Space group C2/m (No. 12)
One atom of each set of equivalent atoms:
Tb (0.0000, 0.1675, 0.0000) x4  6 Te 3.10-3.11
Ce (0.0000, 0.0000, 0.5000) x2  6 Te 3.15-3.19
Ce (0.0000, 0.3376, 0.5000) x4  6 Te 3.17-3.19
Nd (0.0000, 0.5000, 0.0000) x2  6 Te 3.15-3.17
Te (0.2398, 0.0000, 0.2405) x4  2 Tb 3.10, 3 Ce 3.15-3.17, 1 Nd 3.15
Te (0.2481, 0.1699, 0.7548) x8  2 Tb 3.10-3.11, 3 Ce 3.17-3.19, 1 Nd 3.17

Summary:
Mass density = 7.3 g/cm³
Spin magnetization = 3.49 μB per formula unit
Uncorrected formation energy = -1.367 eV/atom
Calculated total energy = -5.59 eV per atom

---

4.
An optimized crystal structure of Zr2MoW, computed with GGA-PBE.

a b c (Å): 3.0618 4.5344 5.5163
angles (deg): 90.00 90.00 90.00
With the nearest neighbours (Å) after each atom.
Space group Pmm2 (No. 25)
One atom of each set of equivalent atoms:
Zr (0.0000, 0.0000, 0.0000) x1  1 Mo 2.60
Zr (0.5000, 0.5000, 0.2685) x1  2 W 2.64-2.87
Mo (0.0000, 0.0000, 0.5285) x1  1 Zr 2.60
W (0.5000, 0.5000, 0.7476) x1  2 Zr 2.64-2.87

Summary:
Mass density = 10.0 g/cm³
Spin magnetization = 0.00 μB per formula unit
Calculated formation energy = 344.1 meV per atom
Distance to the lowest polymorph of the same formula = 0.3153 eV per atom
Calculated total energy = -9.88 eV per atom